Zr3HgPd2: relaxed, PBE.

## Properties
ΔE_f (eV per atom): -0.43
M_tot (μB per formula unit): 0.00
Calculated density (g/cm3): 9.6

Cell: 3.3717 3.3717 10.5008 Å, 90.00 90.00 90.00°
Space group P4/mmm (No. 123)
Symmetry-distinct sites (fractional):
Zr 0.0000 0.0000 0.0000 x1
Zr 0.0000 0.0000 0.3145 x2
Hg 0.5000 0.5000 0.5000 x1
Pd 0.5000 0.5000 0.1546 x2

=====

RbFe2PbCl8: relaxed, PBE.

## Properties
M_tot (μB per formula unit): 9.00
Calculated density (g/cm3): 2.8
ΔE_f (raw) (kJ/mol of atoms): -104

Cell: 10.9075 7.5292 10.0529 Å, 90.00 95.31 90.00°
Space group C2/m (No. 12)
Symmetry-distinct sites (fractional):
Rb 0.0000 0.0000 0.0000 x2
Fe 0.1137 0.5000 0.2770 x4
Pb 0.0000 0.0000 0.5000 x2
Cl 0.0098 0.2554 0.7213 x8
Cl 0.2015 0.5000 0.0881 x4
Cl 0.2325 0.5000 0.4723 x4

=====

Sc4CdCu3: relaxed, PBE.

## Properties
ΔE_f (eV per atom): -0.24
M_tot (μB per formula unit): 0.00
Calculated density (g/cm3): 5.4

Cell: 9.3488 6.8031 4.6741 Å, 90.00 90.00 90.00°
Space group Pmma (No. 51)
Symmetry-distinct sites (fractional):
Sc 0.0000 0.2342 0.0000 x4
Sc 0.2500 0.2342 0.4994 x4
Cd 0.0000 0.5000 0.5000 x2
Cu 0.0000 0.0000 0.5000 x2
Cu 0.2500 0.0000 0.9995 x2
Cu 0.2500 0.5000 0.9987 x2

=====

LaTaSb: relaxed, PBE.

## Properties
Energy above the lowest structure with this stoichiometry (kJ per mole of atoms): 0.0
M_tot (μB per formula unit): 0.00
Calculated density (g/cm3): 9.4
ΔE_f (raw) (kJ/mol of atoms): -11

Cell: 3.6652 3.6652 11.5948 Å, 90.00 90.00 90.00°
Space group I4mm (No. 107)
Symmetry-distinct sites (fractional):
La 0.0000 0.0000 0.0000 x2
Ta 0.0000 0.0000 0.6885 x2
Sb 0.0000 0.0000 0.2931 x2

=====

RbLiReN2: relaxed, PBE.

## Properties
M_tot (μB per formula unit): 0.00
Calculated density (g/cm3): 5.8
ΔE_f (raw) (kJ/mol of atoms): -17

Cell: 5.4268 12.6713 5.1325 Å, 90.00 90.00 90.00°
Space group Cmme (No. 67)
Symmetry-distinct sites (fractional):
Rb 0.0000 0.2500 0.2421 x4
Li 0.0000 0.0000 0.0000 x4
Re 0.2500 0.0000 0.5000 x4
N 0.0000 0.0868 0.6827 x8

=====

BaLi2Ir: relaxed, PBE.

## Properties
ΔE_f (eV per atom): 0.03
Energy above the lowest structure with this stoichiometry (kJ per mole of atoms): 0.0
M_tot (μB per formula unit): 0.00
Calculated density (g/cm3): 6.3

Cell: 8.3960 4.1325 5.4591 Å, 90.00 107.59 90.00°
Space group C2/m (No. 12)
Symmetry-distinct sites (fractional):
Ba 0.0000 0.0000 0.0000 x2
Li 0.1964 0.0000 0.5900 x4
Ir 0.0000 0.5000 0.5000 x2

=====

| no. | calculated total energy (eV for the cell shown) |
| --- | --- |
| 1 | -38.917 |
| 2 | -98.734 |
| 3 | -80.955 |
| 4 | -42.501 |
| 5 | -131.483 |
| 6 | -28.984 |